5
Lattice="5.0437 0.0000 0.0000 0.0000 5.0437 0.0000 0.0000 0.0000 5.0437" Properties=species:S:1:pos:R:3 comment="Ca3NiC meta-GGA SCAN single point on PBEsol structure" ef_ev_per_atom=1.075 sg="Pm-3m (221)" pbc="T T T"
Ca 0.0000 0.0000 2.5219
Ca 0.0000 2.5219 0.0000
Ca 2.5219 0.0000 0.0000
Ni 0.0000 0.0000 0.0000
C 2.5219 2.5219 2.5219

***

4
Lattice="3.8760 0.0000 0.0000 0.0000 3.8760 0.0000 0.0000 0.0000 3.4219" Properties=species:S:1:pos:R:3 comment="Ni2OsAu meta-GGA SCAN single point on PBEsol structure" ef_ev_per_atom=0.456 sg="P4/mmm (123)" pbc="T T T"
Ni 0.0000 1.9380 0.0000
Ni 1.9380 0.0000 0.0000
Os 0.0000 0.0000 1.7109
Au 1.9380 1.9380 1.7109

***

5
Lattice="5.1844 0.0000 0.0000 0.0000 5.1844 0.0000 0.0000 0.0000 5.1844" Properties=species:S:1:pos:R:3 comment="TaCd3Pt meta-GGA SCAN single point on PBEsol structure" ef_ev_per_atom=1.744 sg="Pm-3m (221)" pbc="T T T"
Ta 0.0000 0.0000 0.0000
Cd 0.0000 0.0000 2.5922
Cd 0.0000 2.5922 0.0000
Cd 2.5922 0.0000 0.0000
Pt 2.5922 2.5922 2.5922